1.
Here is a relaxed structure of In3SbTe2 from the Alexandria database. Energies are from GGA-PBEsol.

## Properties
Distance to the lowest polymorph of the same formula = 6 meV per atom
E_form (uncorrected) = -0.210 eV/atom

```
data_In3SbTe2
_chemical_formula_sum 'In3 Sb1 Te2'
_cell_length_a 4.3209
_cell_length_b 4.3209
_cell_length_c 10.5261
_cell_angle_alpha 90.00
_cell_angle_beta 90.00
_cell_angle_gamma 120.00
_space_group_name_H-M_alt 'P -3 m 1'
_space_group_IT_number 164
_space_group_name_Hall '-P 3 2"'
loop_
_atom_site_label
_atom_site_fract_x
_atom_site_fract_y
_atom_site_fract_z
_atom_site_occupancy
In1 0.0000 0.0000 0.0000 1
In2 0.3333 0.6667 0.6556 1
Sb1 0.0000 0.0000 0.5000 1
Te1 0.3333 0.6667 0.1692 1
```


2.
Here is a relaxed structure of In3SbTe2 from the Alexandria database. Energies are from GGA-PBEsol.

## Properties
Distance to the lowest polymorph of the same formula = 0 meV per atom
E_form (uncorrected) = -0.217 eV/atom

```
data_In3SbTe2
_chemical_formula_sum 'In6 Sb2 Te4'
_cell_length_a 4.328
_cell_length_b 6.076
_cell_length_c 12.936
_cell_angle_alpha 90.00
_cell_angle_beta 90.00
_cell_angle_gamma 90.00
_space_group_name_H-M_alt 'I m m m'
_space_group_IT_number 71
_space_group_name_Hall '-I 2 2'
loop_
_atom_site_label
_atom_site_fract_x
_atom_site_fract_y
_atom_site_fract_z
_atom_site_occupancy
In1 0.000 0.000 0.000 1
In2 0.000 0.000 0.341 1
Sb1 0.000 0.500 0.000 1
Te1 0.000 0.500 0.329 1
```


3.
Here is a relaxed structure of InSbTe2 from the Alexandria database. Energies are from GGA-PBEsol.

## Properties
E_form (uncorrected) = -0.129 eV/atom

```
data_InSbTe2
_chemical_formula_sum 'In2 Sb2 Te4'
_cell_length_a 4.532
_cell_length_b 4.331
_cell_length_c 12.165
_cell_angle_alpha 90.00
_cell_angle_beta 90.00
_cell_angle_gamma 90.00
_space_group_name_H-M_alt 'A m m 2'
_space_group_IT_number 38
loop_
_space_group_symop_operation_xyz
'x,y,z'
'-x,-y,z'
'-x,y,z'
'x,-y,z'
'x,y+1/2,z+1/2'
'-x,-y+1/2,z+1/2'
'-x,y+1/2,z+1/2'
'x,-y+1/2,z+1/2'
loop_
_atom_site_label
_atom_site_fract_x
_atom_site_fract_y
_atom_site_fract_z
_atom_site_occupancy
In1 0.000 0.000 0.000 1
Sb1 0.500 0.000 0.262 1
Te1 0.000 0.000 0.742 1
Te2 0.500 0.000 0.490 1
```


4.
Here is a relaxed structure of InSbTe2 from the Alexandria database. Energies are from GGA-PBEsol.

## Properties
E_form (uncorrected) = 0.098 eV/atom

```
data_InSbTe2
_chemical_formula_sum 'In2 Sb2 Te4'
_cell_length_a 3.706
_cell_length_b 5.319
_cell_length_c 10.908
_cell_angle_alpha 90.00
_cell_angle_beta 90.00
_cell_angle_gamma 90.00
_space_group_name_H-M_alt 'C m m m'
_space_group_IT_number 65
_space_group_name_Hall '-C 2 2'
loop_
_atom_site_label
_atom_site_fract_x
_atom_site_fract_y
_atom_site_fract_z
_atom_site_occupancy
In1 0.000 0.000 0.000 1
Sb1 0.000 0.000 0.500 1
Te1 0.000 0.500 0.253 1
```


5.
Here is a relaxed structure of TiInSbTe2 from the Alexandria database. Energies are from GGA-PBEsol.

## Properties
E_form (uncorrected) = -0.072 eV/atom

```
data_TiInSbTe2
_chemical_formula_sum 'Ti1 In1 Sb1 Te2'
_cell_length_a 5.290
_cell_length_b 5.290
_cell_length_c 5.276
_cell_angle_alpha 90.00
_cell_angle_beta 90.00
_cell_angle_gamma 90.00
_space_group_name_H-M_alt 'P 4/m m m'
_space_group_IT_number 123
_space_group_name_Hall '-P 4 2'
loop_
_atom_site_label
_atom_site_fract_x
_atom_site_fract_y
_atom_site_fract_z
_atom_site_occupancy
Ti1 0.000 0.000 0.000 1
In1 0.500 0.500 0.500 1
Sb1 0.000 0.000 0.500 1
Te1 0.000 0.500 0.000 1
```


6.
Here is a relaxed structure of TlInSb2 from the Alexandria database. Energies are from GGA-PBEsol.

## Properties
Distance to the lowest polymorph of the same formula = 0 meV per atom
E_form (uncorrected) = 0.046 eV/atom

```
data_TlInSb2
_chemical_formula_sum 'Tl4 In4 Sb8'
_cell_length_a 6.573
_cell_length_b 6.573
_cell_length_c 13.146
_cell_angle_alpha 90.00
_cell_angle_beta 90.00
_cell_angle_gamma 90.00
_space_group_name_H-M_alt 'I -4 2 d'
_space_group_IT_number 122
_space_group_name_Hall 'I -4 2bw'
loop_
_atom_site_label
_atom_site_fract_x
_atom_site_fract_y
_atom_site_fract_z
_atom_site_occupancy
Tl1 0.000 0.000 0.000 1
In1 0.000 0.000 0.500 1
Sb1 0.244 0.250 0.625 1
```


7.
Here is a relaxed structure of Tl2InSb from the Alexandria database. Energies are from GGA-PBEsol.

## Properties
Distance to the lowest polymorph of the same formula = 22 meV per atom
E_form (uncorrected) = 0.022 eV/atom

```
data_Tl2InSb
_chemical_formula_sum 'Tl4 In2 Sb2'
_cell_length_a 4.102
_cell_length_b 5.151
_cell_length_c 10.396
_cell_angle_alpha 90.00
_cell_angle_beta 90.00
_cell_angle_gamma 90.00
_space_group_name_H-M_alt 'C m m 2'
_space_group_IT_number 35
loop_
_space_group_symop_operation_xyz
'x,y,z'
'-x,-y,z'
'-x,y,z'
'x,-y,z'
'x+1/2,y+1/2,z'
'-x+1/2,-y+1/2,z'
'-x+1/2,y+1/2,z'
'x+1/2,-y+1/2,z'
loop_
_atom_site_label
_atom_site_fract_x
_atom_site_fract_y
_atom_site_fract_z
_atom_site_occupancy
Tl1 0.000 0.000 0.000 1
Tl2 0.000 0.500 0.266 1
In1 0.000 0.000 0.519 1
Sb1 0.000 0.500 0.750 1
```


8.
Here is a relaxed structure of TlInSb2 from the Alexandria database. Energies are from GGA-PBEsol.

## Properties
Distance to the lowest polymorph of the same formula = 8 meV per atom
E_form (uncorrected) = 0.054 eV/atom

```
data_TlInSb2
_chemical_formula_sum 'Tl1 In1 Sb2'
_cell_length_a 3.332
_cell_length_b 4.936
_cell_length_c 6.740
_cell_angle_alpha 90.00
_cell_angle_beta 90.00
_cell_angle_gamma 90.00
_space_group_name_H-M_alt 'P m m m'
_space_group_IT_number 47
loop_
_space_group_symop_operation_xyz
'x,y,z'
'-x,-y,-z'
'-x,-y,z'
'x,y,-z'
'x,-y,-z'
'-x,y,z'
'-x,y,-z'
'x,-y,z'
loop_
_atom_site_label
_atom_site_fract_x
_atom_site_fract_y
_atom_site_fract_z
_atom_site_occupancy
Tl1 0.000 0.000 0.000 1
In1 0.000 0.000 0.500 1
Sb1 0.500 0.500 0.280 1
```


9.
Here is a relaxed structure of Tl2In2Sb from the Alexandria database. Energies are from GGA-PBEsol.

## Properties
E_form (uncorrected) = 0.048 eV/atom

```
data_Tl2In2Sb
_chemical_formula_sum 'Tl4 In4 Sb2'
_cell_length_a 7.772
_cell_length_b 7.772
_cell_length_c 4.710
_cell_angle_alpha 90.00
_cell_angle_beta 90.00
_cell_angle_gamma 90.00
_space_group_name_H-M_alt 'P 4/m b m'
_space_group_IT_number 127
_space_group_name_Hall '-P 4 2ab'
loop_
_atom_site_label
_atom_site_fract_x
_atom_site_fract_y
_atom_site_fract_z
_atom_site_occupancy
Tl1 0.173 0.327 0.000 1
In1 0.135 0.635 0.500 1
Sb1 0.000 0.000 0.500 1
```


10.
Here is a relaxed structure of Tl2InSb from the Alexandria database. Energies are from GGA-PBEsol.

## Properties
Distance to the lowest polymorph of the same formula = 13 meV per atom
E_form (uncorrected) = 0.012 eV/atom

```
data_Tl2InSb
_chemical_formula_sum 'Tl4 In2 Sb2'
_cell_length_a 4.949
_cell_length_b 4.949
_cell_length_c 9.044
_cell_angle_alpha 90.00
_cell_angle_beta 90.00
_cell_angle_gamma 90.00
_space_group_name_H-M_alt 'I -4 m 2'
_space_group_IT_number 119
_space_group_name_Hall 'I -4 -2'
loop_
_atom_site_label
_atom_site_fract_x
_atom_site_fract_y
_atom_site_fract_z
_atom_site_occupancy
Tl1 0.000 0.000 0.000 1
Tl2 0.000 0.500 0.250 1
In1 0.000 0.000 0.500 1
Sb1 0.000 0.500 0.750 1
```


11.
Here is a relaxed structure of Tl2InSb from the Alexandria database. Energies are from GGA-PBEsol.

## Properties
Distance to the lowest polymorph of the same formula = 13 meV per atom
E_form (uncorrected) = 0.013 eV/atom

```
data_Tl2InSb
_chemical_formula_sum 'Tl2 In1 Sb1'
_cell_length_a 4.650
_cell_length_b 4.650
_cell_length_c 5.094
_cell_angle_alpha 90.00
_cell_angle_beta 90.00
_cell_angle_gamma 90.00
_space_group_name_H-M_alt 'P 4/m m m'
_space_group_IT_number 123
_space_group_name_Hall '-P 4 2'
loop_
_atom_site_label
_atom_site_fract_x
_atom_site_fract_y
_atom_site_fract_z
_atom_site_occupancy
Tl1 0.000 0.500 0.000 1
In1 0.000 0.000 0.500 1
Sb1 0.500 0.500 0.500 1
```


12.
Here is a relaxed structure of Tl2InSb from the Alexandria database. Energies are from GGA-PBEsol.

## Properties
Distance to the lowest polymorph of the same formula = 0 meV per atom
E_form (uncorrected) = -0.001 eV/atom

```
data_Tl2InSb
_chemical_formula_sum 'Tl2 In1 Sb1'
_cell_length_a 3.537
_cell_length_b 4.197
_cell_length_c 7.462
_cell_angle_alpha 90.00
_cell_angle_beta 90.00
_cell_angle_gamma 90.00
_space_group_name_H-M_alt 'P m m 2'
_space_group_IT_number 25
loop_
_space_group_symop_operation_xyz
'x,y,z'
'-x,-y,z'
'-x,y,z'
'x,-y,z'
loop_
_atom_site_label
_atom_site_fract_x
_atom_site_fract_y
_atom_site_fract_z
_atom_site_occupancy
Tl1 0.000 0.000 0.000 1
Tl2 0.500 0.500 0.276 1
In1 0.000 0.000 0.527 1
Sb1 0.500 0.500 0.741 1
```


13.
Here is a relaxed structure of TlInSb2 from the Alexandria database. Energies are from GGA-PBEsol.

## Properties
Distance to the lowest polymorph of the same formula = 65 meV per atom
E_form (uncorrected) = 0.110 eV/atom

```
data_TlInSb2
_chemical_formula_sum 'Tl4 In4 Sb8'
_cell_length_a 7.519
_cell_length_b 7.519
_cell_length_c 7.519
_cell_angle_alpha 90.00
_cell_angle_beta 90.00
_cell_angle_gamma 90.00
_space_group_name_H-M_alt 'F m -3 m'
_space_group_IT_number 225
_space_group_name_Hall '-F 4 2 3'
loop_
_atom_site_label
_atom_site_fract_x
_atom_site_fract_y
_atom_site_fract_z
_atom_site_occupancy
Tl1 0.000 0.000 0.000 1
In1 0.000 0.000 0.500 1
Sb1 0.250 0.250 0.250 1
```


14.
Here is a relaxed structure of Tl2InSb from the Alexandria database. Energies are from GGA-PBEsol.

## Properties
Distance to the lowest polymorph of the same formula = 8 meV per atom
E_form (uncorrected) = 0.007 eV/atom

```
data_Tl2InSb
_chemical_formula_sum 'Tl2 In1 Sb1'
_cell_length_a 3.201
_cell_length_b 5.333
_cell_length_c 6.504
_cell_angle_alpha 90.00
_cell_angle_beta 96.25
_cell_angle_gamma 90.00
_space_group_name_H-M_alt 'P 1 m 1'
_space_group_IT_number 6
loop_
_space_group_symop_operation_xyz
'x,y,z'
'x,-y,z'
loop_
_atom_site_label
_atom_site_fract_x
_atom_site_fract_y
_atom_site_fract_z
_atom_site_occupancy
Tl1 0.000 0.000 0.000 1
Tl2 0.305 0.500 0.721 1
In1 0.614 0.500 0.234 1
Sb1 0.679 0.000 0.482 1
```


15.
Here is a relaxed structure of Tl2InSb from the Alexandria database. Energies are from GGA-PBEsol.

## Properties
Distance to the lowest polymorph of the same formula = 36 meV per atom
E_form (uncorrected) = 0.035 eV/atom

```
data_Tl2InSb
_chemical_formula_sum 'Tl2 In1 Sb1'
_cell_length_a 3.228
_cell_length_b 3.228
_cell_length_c 10.554
_cell_angle_alpha 90.00
_cell_angle_beta 90.00
_cell_angle_gamma 90.00
_space_group_name_H-M_alt 'P 4/m m m'
_space_group_IT_number 123
_space_group_name_Hall '-P 4 2'
loop_
_atom_site_label
_atom_site_fract_x
_atom_site_fract_y
_atom_site_fract_z
_atom_site_occupancy
Tl1 0.000 0.000 0.250 1
In1 0.500 0.500 0.000 1
Sb1 0.500 0.500 0.500 1
```


16.
Here is a relaxed structure of Tl2InSb from the Alexandria database. Energies are from GGA-PBEsol.

## Properties
Distance to the lowest polymorph of the same formula = 31 meV per atom
E_form (uncorrected) = 0.030 eV/atom

```
data_Tl2InSb
_chemical_formula_sum 'Tl2 In1 Sb1'
_cell_length_a 3.213
_cell_length_b 5.249
_cell_length_c 6.527
_cell_angle_alpha 90.00
_cell_angle_beta 90.00
_cell_angle_gamma 90.00
_space_group_name_H-M_alt 'P m m m'
_space_group_IT_number 47
loop_
_space_group_symop_operation_xyz
'x,y,z'
'-x,-y,-z'
'-x,-y,z'
'x,y,-z'
'x,-y,-z'
'-x,y,z'
'-x,y,-z'
'x,-y,z'
loop_
_atom_site_label
_atom_site_fract_x
_atom_site_fract_y
_atom_site_fract_z
_atom_site_occupancy
Tl1 0.000 0.000 0.248 1
In1 0.500 0.500 0.500 1
Sb1 0.500 0.500 0.000 1
```


17.
Here is a relaxed structure of Tl2InSb from the Alexandria database. Energies are from GGA-PBEsol.

## Properties
Distance to the lowest polymorph of the same formula = 28 meV per atom
E_form (uncorrected) = 0.027 eV/atom

```
data_Tl2InSb
_chemical_formula_sum 'Tl8 In4 Sb4'
_cell_length_a 7.606
_cell_length_b 7.606
_cell_length_c 7.606
_cell_angle_alpha 90.00
_cell_angle_beta 90.00
_cell_angle_gamma 90.00
_space_group_name_H-M_alt 'F -4 3 m'
_space_group_IT_number 216
_space_group_name_Hall 'F -4 2 3'
loop_
_atom_site_label
_atom_site_fract_x
_atom_site_fract_y
_atom_site_fract_z
_atom_site_occupancy
Tl1 0.000 0.000 0.000 1
Tl2 0.250 0.250 0.250 1
In1 0.250 0.250 0.750 1
Sb1 0.000 0.000 0.500 1
```


18.
Here is a relaxed structure of Tl2InSb from the Alexandria database. Energies are from GGA-PBEsol.

## Properties
Distance to the lowest polymorph of the same formula = 25 meV per atom
E_form (uncorrected) = 0.024 eV/atom

```
data_Tl2InSb
_chemical_formula_sum 'Tl4 In2 Sb2'
_cell_length_a 10.806
_cell_length_b 3.235
_cell_length_c 6.352
_cell_angle_alpha 90.00
_cell_angle_beta 95.15
_cell_angle_gamma 90.00
_space_group_name_H-M_alt 'C 1 m 1'
_space_group_IT_number 8
loop_
_space_group_symop_operation_xyz
'x,y,z'
'x,-y,z'
'x+1/2,y+1/2,z'
'x+1/2,-y+1/2,z'
loop_
_atom_site_label
_atom_site_fract_x
_atom_site_fract_y
_atom_site_fract_z
_atom_site_occupancy
Tl1 0.000 0.000 0.000 1
Tl2 0.247 0.000 0.745 1
In1 0.495 0.000 0.497 1
Sb1 0.247 0.500 0.265 1
```


19.
Here is a relaxed structure of Tl2InSb from the Alexandria database. Energies are from GGA-PBEsol.

## Properties
Distance to the lowest polymorph of the same formula = 29 meV per atom
E_form (uncorrected) = 0.028 eV/atom

```
data_Tl2InSb
_chemical_formula_sum 'Tl4 In2 Sb2'
_cell_length_a 3.496
_cell_length_b 5.578
_cell_length_c 11.338
_cell_angle_alpha 90.00
_cell_angle_beta 90.00
_cell_angle_gamma 90.00
_space_group_name_H-M_alt 'I m m 2'
_space_group_IT_number 44
loop_
_space_group_symop_operation_xyz
'x,y,z'
'-x,-y,z'
'-x,y,z'
'x,-y,z'
'x+1/2,y+1/2,z+1/2'
'-x+1/2,-y+1/2,z+1/2'
'-x+1/2,y+1/2,z+1/2'
'x+1/2,-y+1/2,z+1/2'
loop_
_atom_site_label
_atom_site_fract_x
_atom_site_fract_y
_atom_site_fract_z
_atom_site_occupancy
Tl1 0.000 0.000 0.000 1
Tl2 0.000 0.500 0.230 1
In1 0.000 0.500 0.753 1
Sb1 0.000 0.000 0.479 1
```


20.
Here is a relaxed structure of Tl2InSb from the Alexandria database. Energies are from GGA-PBEsol.

## Properties
Distance to the lowest polymorph of the same formula = 24 meV per atom
E_form (uncorrected) = 0.023 eV/atom

```
data_Tl2InSb
_chemical_formula_sum 'Tl4 In2 Sb2'
_cell_length_a 4.761
_cell_length_b 4.761
_cell_length_c 9.732
_cell_angle_alpha 90.00
_cell_angle_beta 90.00
_cell_angle_gamma 90.00
_space_group_name_H-M_alt 'I 4/m m m'
_space_group_IT_number 139
_space_group_name_Hall '-I 4 2'
loop_
_atom_site_label
_atom_site_fract_x
_atom_site_fract_y
_atom_site_fract_z
_atom_site_occupancy
Tl1 0.000 0.500 0.250 1
In1 0.000 0.000 0.000 1
Sb1 0.000 0.000 0.500 1
```